# 1
A plane-wave DFT calculation with PBE-GGA was carried out for a relaxed structure of Tm2MnGe2.

Computed properties:
Volume (Å³/atom): 21.59
Energy of formation (meV/atom): -542
Electronic total energy (eV per atom): -6.012

Structure (CIF):
```
data_Tm2MnGe2
_cell_length_a 6.2015
_cell_length_b 12.1026
_cell_length_c 5.7525
_cell_angle_alpha 90.00
_cell_angle_beta 90.00
_cell_angle_gamma 90.00
_symmetry_space_group_name_H-M 'I b a m'
_symmetry_Int_Tables_number 72
_symmetry_space_group_name_Hall '-I 2 2c'
loop_
_atom_site_label
_atom_site_type_symbol
_atom_site_fract_x
_atom_site_fract_y
_atom_site_fract_z
Tm1 Tm 0.2054 0.1437 0.0000
Mn1 Mn 0.0000 0.5000 0.2500
Ge1 Ge 0.2319 0.3876 0.0000
```



# 2
A plane-wave DFT calculation with PBE-GGA was carried out for a relaxed structure of TmMnGe.

Computed properties:
Volume (Å³/atom): 18.28
Energy of formation (meV/atom): -518
Electronic total energy (eV per atom): -6.604

Structure (CIF):
```
data_TmMnGe
_cell_length_a 6.8202
_cell_length_b 6.8202
_cell_length_c 4.0834
_cell_angle_alpha 90.00
_cell_angle_beta 90.00
_cell_angle_gamma 120.00
_symmetry_space_group_name_H-M 'P -6 2 m'
_symmetry_Int_Tables_number 189
_symmetry_space_group_name_Hall 'P -6 -2'
loop_
_atom_site_label
_atom_site_type_symbol
_atom_site_fract_x
_atom_site_fract_y
_atom_site_fract_z
Tm1 Tm 0.0000 0.5827 0.0000
Mn1 Mn 0.0000 0.2255 0.5000
Ge1 Ge 0.0000 0.0000 0.0000
Ge2 Ge 0.3333 0.6667 0.5000
```



# 3
A plane-wave DFT calculation with PBE-GGA was carried out for a relaxed structure of TmMnGe.

Computed properties:
Volume (Å³/atom): 19.39
Energy of formation (meV/atom): -373
Electronic total energy (eV per atom): -6.459

Structure (CIF):
```
data_TmMnGe
_cell_length_a 4.3014
_cell_length_b 4.3014
_cell_length_c 3.6309
_cell_angle_alpha 90.00
_cell_angle_beta 90.00
_cell_angle_gamma 120.00
_symmetry_space_group_name_H-M 'P -6 m 2'
_symmetry_Int_Tables_number 187
_symmetry_space_group_name_Hall 'P -6 2'
loop_
_atom_site_label
_atom_site_type_symbol
_atom_site_fract_x
_atom_site_fract_y
_atom_site_fract_z
Tm1 Tm 0.0000 0.0000 0.0000
Mn1 Mn 0.3333 0.6667 0.5000
Ge1 Ge 0.6667 0.3333 0.5000
```



# 4
A plane-wave DFT calculation with PBE-GGA was carried out for a relaxed structure of Tm3MnGe3.

Computed properties:
Volume (Å³/atom): 20.55
Energy of formation (meV/atom): -711
Electronic total energy (eV per atom): -5.916

Structure (CIF):
```
data_Tm3MnGe3
_cell_length_a 10.6703
_cell_length_b 4.1955
_cell_length_c 13.6894
_cell_angle_alpha 90.00
_cell_angle_beta 110.12
_cell_angle_gamma 90.00
_symmetry_space_group_name_H-M 'C 1 2/m 1'
_symmetry_Int_Tables_number 12
loop_
_symmetry_equiv_pos_as_xyz
'x,y,z'
'-x,-y,-z'
'-x,y,-z'
'x,-y,z'
'x+1/2,y+1/2,z'
'-x+1/2,-y+1/2,-z'
'-x+1/2,y+1/2,-z'
'x+1/2,-y+1/2,z'
loop_
_atom_site_label
_atom_site_type_symbol
_atom_site_fract_x
_atom_site_fract_y
_atom_site_fract_z
Tm1 Tm 0.0209 0.0000 0.3783
Tm2 Tm 0.0984 0.0000 0.9204
Tm3 Tm 0.2429 0.0000 0.2280
Mn1 Mn 0.2408 0.5000 0.4099
Ge1 Ge 0.0390 0.5000 0.2379
Ge2 Ge 0.1271 0.5000 0.0755
Ge3 Ge 0.1330 0.5000 0.5484
```



# 5
A plane-wave DFT calculation with PBE-GGA was carried out for a relaxed structure of TmMnGe.

Computed properties:
Volume (Å³/atom): 18.43
Energy of formation (meV/atom): -502
Electronic total energy (eV per atom): -6.589

Structure (CIF):
```
data_TmMnGe
_cell_length_a 6.9435
_cell_length_b 4.0377
_cell_length_c 7.8888
_cell_angle_alpha 90.00
_cell_angle_beta 90.00
_cell_angle_gamma 90.00
_symmetry_space_group_name_H-M 'P n m a'
_symmetry_Int_Tables_number 62
loop_
_symmetry_equiv_pos_as_xyz
'x,y,z'
'-x,-y,-z'
'-x+1/2,-y,z+1/2'
'x+1/2,y,-z+1/2'
'x+1/2,-y+1/2,-z+1/2'
'-x+1/2,y+1/2,z+1/2'
'-x,y+1/2,-z'
'x,-y+1/2,z'
loop_
_atom_site_label
_atom_site_type_symbol
_atom_site_fract_x
_atom_site_fract_y
_atom_site_fract_z
Tm1 Tm 0.0272 0.2500 0.1812
Mn1 Mn 0.1328 0.2500 0.5556
Ge1 Ge 0.2275 0.7500 0.3797
```



# 6
A plane-wave DFT calculation with PBE-GGA was carried out for a relaxed structure of TmMn5Ge6.

Computed properties:
Volume (Å³/atom): 16.17
Energy of formation (meV/atom): -78
Electronic total energy (eV per atom): -6.580

Structure (CIF):
```
data_TmMn5Ge6
_cell_length_a 5.4698
_cell_length_b 11.5994
_cell_length_c 6.6053
_cell_angle_alpha 90.00
_cell_angle_beta 112.21
_cell_angle_gamma 90.00
_symmetry_space_group_name_H-M 'C 1 2/m 1'
_symmetry_Int_Tables_number 12
loop_
_symmetry_equiv_pos_as_xyz
'x,y,z'
'-x,-y,-z'
'-x,y,-z'
'x,-y,z'
'x+1/2,y+1/2,z'
'-x+1/2,-y+1/2,-z'
'-x+1/2,y+1/2,-z'
'x+1/2,-y+1/2,z'
loop_
_atom_site_label
_atom_site_type_symbol
_atom_site_fract_x
_atom_site_fract_y
_atom_site_fract_z
Tm1 Tm 0.0000 0.0000 0.0000
Mn1 Mn 0.0000 0.0000 0.5000
Mn2 Mn 0.0000 0.3086 0.0000
Mn3 Mn 0.0000 0.3779 0.5000
Ge1 Ge 0.0059 0.1838 0.7022
Ge2 Ge 0.0612 0.5000 0.2098
```



# 7
A plane-wave DFT calculation with PBE-GGA was carried out for a relaxed structure of U2Mn3Ge2.

Computed properties:
Volume (Å³/atom): 16.81
Energy of formation (meV/atom): -269
Electronic total energy (eV per atom): -8.743

Structure (CIF):
```
data_U2Mn3Ge2
_cell_length_a 11.8732
_cell_length_b 4.2422
_cell_length_c 4.7080
_cell_angle_alpha 90.00
_cell_angle_beta 97.19
_cell_angle_gamma 90.00
_symmetry_space_group_name_H-M 'C 1 2/m 1'
_symmetry_Int_Tables_number 12
loop_
_symmetry_equiv_pos_as_xyz
'x,y,z'
'-x,-y,-z'
'-x,y,-z'
'x,-y,z'
'x+1/2,y+1/2,z'
'-x+1/2,-y+1/2,-z'
'-x+1/2,y+1/2,-z'
'x+1/2,-y+1/2,z'
loop_
_atom_site_label
_atom_site_type_symbol
_atom_site_fract_x
_atom_site_fract_y
_atom_site_fract_z
U1 U 0.1458 0.0000 0.3783
Mn1 Mn 0.0000 0.0000 0.0000
Mn2 Mn 0.2055 0.0000 0.8175
Ge1 Ge 0.0987 0.5000 0.8743
```



# 8
A plane-wave DFT calculation with PBE-GGA was carried out for a relaxed structure of UMn2Ge.

Computed properties:
Volume (Å³/atom): 14.48
Energy of formation (meV/atom): -117
Electronic total energy (eV per atom): -8.678

Structure (CIF):
```
data_UMn2Ge
_cell_length_a 4.1578
_cell_length_b 4.1578
_cell_length_c 3.3497
_cell_angle_alpha 90.00
_cell_angle_beta 90.00
_cell_angle_gamma 90.00
_symmetry_space_group_name_H-M 'P 4/m m m'
_symmetry_Int_Tables_number 123
_symmetry_space_group_name_Hall '-P 4 2'
loop_
_atom_site_label
_atom_site_type_symbol
_atom_site_fract_x
_atom_site_fract_y
_atom_site_fract_z
U1 U 0.0000 0.0000 0.0000
Mn1 Mn 0.0000 0.5000 0.5000
Ge1 Ge 0.5000 0.5000 0.0000
```



# 9
A plane-wave DFT calculation with PBE-GGA was carried out for a relaxed structure of UMn3Ge2.

Computed properties:
Volume (Å³/atom): 15.21
Energy of formation (meV/atom): -131
Electronic total energy (eV per atom): -8.136

Structure (CIF):
```
data_UMn3Ge2
_cell_length_a 14.3725
_cell_length_b 4.0326
_cell_length_c 7.1228
_cell_angle_alpha 90.00
_cell_angle_beta 117.81
_cell_angle_gamma 90.00
_symmetry_space_group_name_H-M 'C 1 2/m 1'
_symmetry_Int_Tables_number 12
loop_
_symmetry_equiv_pos_as_xyz
'x,y,z'
'-x,-y,-z'
'-x,y,-z'
'x,-y,z'
'x+1/2,y+1/2,z'
'-x+1/2,-y+1/2,-z'
'-x+1/2,y+1/2,-z'
'x+1/2,-y+1/2,z'
loop_
_atom_site_label
_atom_site_type_symbol
_atom_site_fract_x
_atom_site_fract_y
_atom_site_fract_z
U1 U 0.1410 0.0000 0.0629
Mn1 Mn 0.0393 0.0000 0.3870
Mn2 Mn 0.0876 0.5000 0.6349
Mn3 Mn 0.2060 0.5000 0.4911
Ge1 Ge 0.0265 0.5000 0.1995
Ge2 Ge 0.1986 0.0000 0.7232
```



# 10
A plane-wave DFT calculation with PBE-GGA was carried out for a relaxed structure of UMnGe.

Computed properties:
Volume (Å³/atom): 17.91
Energy of formation (meV/atom): -170
Electronic total energy (eV per atom): -8.529

Structure (CIF):
```
data_UMnGe
_cell_length_a 4.3462
_cell_length_b 4.3462
_cell_length_c 3.2846
_cell_angle_alpha 90.00
_cell_angle_beta 90.00
_cell_angle_gamma 120.00
_symmetry_space_group_name_H-M 'P -6 m 2'
_symmetry_Int_Tables_number 187
_symmetry_space_group_name_Hall 'P -6 2'
loop_
_atom_site_label
_atom_site_type_symbol
_atom_site_fract_x
_atom_site_fract_y
_atom_site_fract_z
U1 U 0.0000 0.0000 0.0000
Mn1 Mn 0.6667 0.3333 0.5000
Ge1 Ge 0.3333 0.6667 0.5000
```



Question: electronic total energy of number 4 (Tm3MnGe3)?
Answer: -5.916 eV per atom



Question: The highest volume belongs to which entry?
Answer: Tm2MnGe2